## TbInPt (PBE)

Data for a geometry-optimized TbInPt structure.

Properties
- Uncorrected energy: -46.748 eV for the cell shown
- ρ: 11.88 Mg/m³
- Space group: P-62m, No. 189

a = 7.191 Å, b = 7.191 Å, c = 4.390 Å
α = 90.00°, β = 90.00°, γ = 120.00°
Fractional positions:
In  0.000  0.000  0.500
Tb  0.438  0.438  0.500
Pt  0.757  0.757  0.000
Tb  0.562  0.000  0.500
In  0.333  0.667  0.000
Pt  0.243  0.000  0.000
In  0.667  0.333  0.000
Pt  0.000  0.243  0.000
Tb  0.000  0.562  0.500